No. 1
Computed, not measured: a crystal of RbLiTi2Nb relaxed with PBEsol at the meta-GGA SCAN level of DFT.

Geometry as CIF:
```
data_RbLiTi2Nb
_cell_length_a 4.7535
_cell_length_b 4.7535
_cell_length_c 5.9565
_cell_angle_alpha 90.00
_cell_angle_beta 90.00
_cell_angle_gamma 90.00
_space_group_name_H-M_alt 'P 1'
_space_group_IT_number 1
loop_
_space_group_symop_operation_xyz
'x,y,z'
loop_
_atom_site_label
_atom_site_fract_x
_atom_site_fract_y
_atom_site_fract_z
_atom_site_occupancy
Rb1 0.0000 0.0000 0.0000 1
Li1 0.5000 0.5000 0.0000 1
Ti1 0.0000 0.5000 0.5000 1
Ti2 0.5000 0.0000 0.5000 1
Nb1 0.5000 0.5000 0.5000 1
```

## Properties
space-group type	P4/mmm, No. 123
theoretical density	3.47	g/cm³
DOS at the Fermi energy	3.859	states/eV/f.u.
raw total energy	-16.677	eV/atom
formation energy from the elements	0.99	eV per atom

***

No. 2
Computed, not measured: a crystal of CrReOs relaxed with PBEsol at the meta-GGA SCAN level of DFT.

Geometry as CIF:
```
data_CrReOs
_cell_length_a 4.1086
_cell_length_b 4.1086
_cell_length_c 4.1086
_cell_angle_alpha 60.00
_cell_angle_beta 60.00
_cell_angle_gamma 60.00
_space_group_name_H-M_alt 'P 1'
_space_group_IT_number 1
loop_
_space_group_symop_operation_xyz
'x,y,z'
loop_
_atom_site_label
_atom_site_fract_x
_atom_site_fract_y
_atom_site_fract_z
_atom_site_occupancy
Cr1 0.0000 0.0000 0.0000 1
Re1 0.5000 0.5000 0.5000 1
Os1 0.7500 0.7500 0.7500 1
```

## Properties
space-group type	F-43m, No. 216
theoretical density	14.51	g/cm³
offset from the most stable computed form	31.0	kJ/mol of atoms
DOS at the Fermi energy	2.034	states/eV/f.u.
raw total energy	-53.296	eV/atom
formation energy from the elements	0.49	eV per atom

***

No. 3
Computed, not measured: a crystal of YTeRh3 relaxed with PBEsol at the meta-GGA SCAN level of DFT.

Geometry as CIF:
```
data_YTeRh3
_cell_length_a 4.7951
_cell_length_b 4.7951
_cell_length_c 4.7951
_cell_angle_alpha 90.00
_cell_angle_beta 90.00
_cell_angle_gamma 90.00
_space_group_name_H-M_alt 'P 1'
_space_group_IT_number 1
loop_
_space_group_symop_operation_xyz
'x,y,z'
loop_
_atom_site_label
_atom_site_fract_x
_atom_site_fract_y
_atom_site_fract_z
_atom_site_occupancy
Y1 0.0000 0.0000 0.0000 1
Te1 0.5000 0.5000 0.5000 1
Rh1 0.0000 0.0000 0.5000 1
Rh2 0.0000 0.5000 0.0000 1
Rh3 0.5000 0.0000 0.0000 1
```

## Properties
space-group type	Pm-3m, No. 221
theoretical density	7.91	g/cm³
DOS at the Fermi energy	6.804	states/eV/f.u.
raw total energy	-32.218	eV/atom
raw formation energy	5.32	eV/f.u.

***

What did the second record say?
Computed, not measured: a crystal of CrReOs relaxed with PBEsol at the meta-GGA SCAN level of DFT.

Geometry as CIF:
```
data_CrReOs
_cell_length_a 4.1086
_cell_length_b 4.1086
_cell_length_c 4.1086
_cell_angle_alpha 60.00
_cell_angle_beta 60.00
_cell_angle_gamma 60.00
_space_group_name_H-M_alt 'P 1'
_space_group_IT_number 1
loop_
_space_group_symop_operation_xyz
'x,y,z'
loop_
_atom_site_label
_atom_site_fract_x
_atom_site_fract_y
_atom_site_fract_z
_atom_site_occupancy
Cr1 0.0000 0.0000 0.0000 1
Re1 0.5000 0.5000 0.5000 1
Os1 0.7500 0.7500 0.7500 1
```

## Properties
space-group type	F-43m, No. 216
theoretical density	14.51	g/cm³
offset from the most stable computed form	31.0	kJ/mol of atoms
DOS at the Fermi energy	2.034	states/eV/f.u.
raw total energy	-53.296	eV/atom
formation energy from the elements	0.49	eV per atom

***

> Number 3 is which compound?

YTeRh3

***

> The highest raw total energy belongs to which entry?

RbLiTi2Nb